No. 1
DFT (PBE-GGA) results for a relaxed structure of PmPr2Dy3.

a = 11.910 Å, b = 11.910 Å, c = 10.398 Å
α = 108.37°, β = 108.37°, γ = 17.02°
Sites, in units of the cell vectors:
Pm 0.188 0.188 0.036
Pm 0.812 0.812 0.964
Pr 0.190 0.190 0.372
Pr 0.433 0.433 0.863
Pr 0.567 0.567 0.137
Pr 0.810 0.810 0.628
Dy 0.059 0.059 0.447
Dy 0.194 0.194 0.715
Dy 0.431 0.431 0.238
Dy 0.569 0.569 0.762
Dy 0.806 0.806 0.285
Dy 0.941 0.941 0.553

## Properties
Excess energy over the best structure of this formula in the dataset: 22 meV/atom
DFT formation energy: 0.12 eV per atom
Symmetry: No. 12
Electronic total energy: -27.4 eV/f.u.

***

No. 2
DFT (PBE-GGA) results for a relaxed structure of Mg2TlBr.

a = 5.482 Å, b = 5.495 Å, c = 3.375 Å
α = 90.00°, β = 90.00°, γ = 90.00°
Sites, in units of the cell vectors:
Mg 0.000 0.000 0.000
Mg 0.500 0.500 0.000
Tl 0.000 0.500 0.499
Br 0.500 0.000 0.994

## Properties
Excess energy over the best structure of this formula in the dataset: 35 meV/atom
Symmetry: No. 25
Energy relative to the elements, uncorrected: -0.3294 eV/atom
Electronic total energy: -8.5 eV/f.u.

***

No. 3
DFT (PBE-GGA) results for a relaxed structure of TiZn4Pt.

a = 4.991 Å, b = 4.991 Å, c = 4.991 Å
α = 60.00°, β = 60.00°, γ = 60.00°
Sites, in units of the cell vectors:
Ti 0.000 0.000 0.000
Zn 0.375 0.375 0.375
Zn 0.375 0.375 0.876
Zn 0.375 0.876 0.375
Zn 0.876 0.375 0.375
Pt 0.750 0.750 0.750

## Properties
DFT formation energy: -0.24 eV per atom
Symmetry: No. 216
Electronic total energy: -20.5 eV/f.u.

***

No. 4
DFT (PBE-GGA) results for a relaxed structure of CdGeBiH.

a = 4.573 Å, b = 4.573 Å, c = 6.102 Å
α = 94.89°, β = 94.89°, γ = 42.68°
Sites, in units of the cell vectors:
Cd 0.000 0.000 0.000
Ge 0.378 0.378 0.344
Bi 0.717 0.717 0.670
H 0.204 0.204 0.190

## Properties
Excess energy over the best structure of this formula in the dataset: 66 meV/atom
Symmetry: No. 8
Electronic total energy: -11.8 eV/f.u.

***

No. 5
DFT (PBE-GGA) results for a relaxed structure of CuOsPtO2.

a = 3.677 Å, b = 3.677 Å, c = 5.526 Å
α = 90.00°, β = 90.00°, γ = 90.00°
Sites, in units of the cell vectors:
Cu 0.000 0.000 0.000
Os 0.000 0.000 0.500
Pt 0.500 0.500 0.000
O 0.000 0.500 0.500
O 0.500 0.000 0.500

## Properties
Symmetry: No. 123
Energy relative to the elements, uncorrected: 0.0189 eV/atom
Electronic total energy: -31.2 eV/f.u.

***

No. 6
DFT (PBE-GGA) results for a relaxed structure of Tb2AsH.

a = 7.374 Å, b = 7.374 Å, c = 7.374 Å
α = 30.77°, β = 30.77°, γ = 30.77°
Sites, in units of the cell vectors:
Tb 0.000 0.000 0.000
Tb 0.172 0.172 0.172
As 0.590 0.590 0.590
H 0.817 0.817 0.817

## Properties
Excess energy over the best structure of this formula in the dataset: 191 meV/atom
Symmetry: No. 160
Electronic total energy: -20.2 eV/f.u.